No. 1
Material: Ta2ZnRu
Method: DFT, SCAN
State: single point on PBEsol structure

Cell: 3.0722 4.4840 5.2888 Å, 115.08 106.88 90.00°
Closest atoms and distances in Å follow each position.
Fractional positions:
Ru  0.2534  0.7534  0.5067  6 Ta 2.63-2.72, 2 Zn 2.67
Ta  0.9880  0.9880  0.9760  2 Ru 2.63, 4 Zn 2.73, 2 Ta 2.80
Ta  0.7453  0.2453  0.4907  4 Ru 2.72, 2 Ta 2.80, 2 Zn 2.88
Zn  0.5133  0.5133  0.0266  2 Ru 2.67, 6 Ta 2.73-2.88

Properties
formation energy from the elements = -0.145 eV per atom
N(E_F) = 0.4298 states/eV/atom
final energy = -45.52 eV per atom



No. 2
Material: Ta2ZnRu
Method: DFT, SCAN
State: single point on PBEsol structure

Cell: 3.1124 3.1124 6.4504 Å, 90.00 90.00 90.00°
Closest atoms and distances in Å follow each position.
Fractional positions:
Ru  0.5000  0.5000  0.7464  4 Ta 2.63, 4 Zn 2.64
Ta  0.0000  0.0000  0.9703  4 Ru 2.63, 4 Ta 2.90, 1 Zn 2.90
Ta  0.5000  0.5000  0.2630  4 Zn 2.76, 4 Ta 2.90
Zn  0.0000  0.0000  0.5202  4 Ru 2.64, 5 Ta 2.76-2.90

Properties
formation energy from the elements = -0.187 eV per atom
N(E_F) = 0.4102 states/eV/atom
final energy = -45.56 eV per atom



No. 3
Material: TaZnRu2
Method: DFT, SCAN
State: single point on PBEsol structure

Cell: 2.7465 2.7465 9.0831 Å, 81.30 81.30 60.00°
Closest atoms and distances in Å follow each position.
Fractional positions:
Ru  0.0017  0.0017  0.9950  9 Ru 2.60-2.75, 3 Zn 2.68
Ru  0.7450  0.7450  0.7650  9 Ru 2.60-2.75, 3 Ta 2.82
Ta  0.4987  0.4987  0.5040  6 Ta 2.75, 3 Ru 2.82, 3 Zn 2.87
Zn  0.2546  0.2546  0.2361  3 Ru 2.68, 6 Zn 2.75, 3 Ta 2.87

Properties
formation energy from the elements = 0.095 eV per atom
N(E_F) = 0.8454 states/eV/atom
final energy = -37.34 eV per atom



No. 4
Material: ZrTaRu
Method: DFT, SCAN
State: single point on PBEsol structure

Cell: 3.0608 3.0608 6.5310 Å, 90.00 90.00 120.00°
Closest atoms and distances in Å follow each position.
Fractional positions:
Ru  0.0000  0.0000  0.9888  3 Ta 2.64, 3 Zr 2.80
Ta  0.3333  0.6667  0.6890  3 Ru 2.64
Zr  0.6667  0.3333  0.3222  3 Ru 2.80, 3 Ta 2.98, 6 Zr 3.06

Properties
formation energy from the elements = -0.038 eV per atom
N(E_F) = 0.8520 states/eV/atom
final energy = -44.07 eV per atom
energy relative to the lowest polymorph listed for this composition = 0.401 eV per atom